Material: GaSn2Pd6
Method: DFT, PBE-GGA
State: relaxed

## Properties
SG: P-62m
Energy relative to the elements: -0.567 eV/atom
E_tot: -0.1931 Ha/atom
Fermi-level density of states: 2.2 states/eV/cell

a = 3.3482 Å, b = 7.2020 Å, c = 7.2019 Å
α = 120.00°, β = 90.00°, γ = 90.00°
Closest atoms and distances in Å follow each position.
Positions (direct):
Pd1 0.0000 0.7350 0.7350  2 Ga 2.54, 2 Sn 2.68
Pd2 0.5000 0.0000 0.6199  1 Ga 2.74, 4 Sn 2.81, 6 Pd 2.95-3.06
Pd3 0.0000 0.0000 0.2650  2 Ga 2.54, 2 Sn 2.68
Pd4 0.0000 0.2650 0.0000  2 Ga 2.54, 2 Sn 2.68
Pd5 0.5000 0.6199 0.0000  1 Ga 2.74, 4 Sn 2.81, 6 Pd 2.95-3.06
Pd6 0.5000 0.3801 0.3801  1 Ga 2.74, 4 Sn 2.81, 6 Pd 2.95-3.06
Ga1 0.5000 0.0000 0.0000  9 Pd 2.54-2.74
Sn1 0.0000 0.3333 0.6667  9 Pd 2.68-2.81
Sn2 0.0000 0.6667 0.3333  9 Pd 2.68-2.81